GaIBr3: relaxed, PBE.

a b c (Å): 7.4788 6.8660 7.4928
angles (deg): 90.00 100.00 90.00
Positions (direct):
Ga: 0.0100 0.2500 0.0102
Ga: 0.9900 0.7500 0.9898
I: 0.2889 0.7500 0.2893
I: 0.7111 0.2500 0.7107
Br: 0.1626 0.0001 0.8385
Br: 0.1626 0.4999 0.8385
Br: 0.2766 0.2500 0.2767
Br: 0.7234 0.7500 0.7233
Br: 0.8374 0.9999 0.1615
Br: 0.8374 0.5001 0.1615

Summary:
total DFT energy (no corrections)	-23.326	eV for the cell shown


Cd2CuBi: relaxed, PBE.

a b c (Å): 10.9905 10.9905 10.9905
angles (deg): 17.24 17.24 17.24
Positions (direct):
Cd: 0.0792 0.0792 0.0792
Cd: 0.9208 0.9208 0.9208
Cu: 0.0000 0.0000 0.0000
Bi: 0.5000 0.5000 0.5000

Summary:
total DFT energy (no corrections)	-8.253	eV for the cell shown
formation energy	1.55	eV per formula unit


AcPr3Ho2Se6: relaxed, PBE.

a b c (Å): 7.3218 7.3218 7.3665
angles (deg): 99.58 99.58 120.15
Positions (direct):
Ac: 0.0000 0.0000 0.0000
Pr: 0.1567 0.8433 0.5000
Pr: 0.5000 0.5000 0.5000
Pr: 0.8433 0.1567 0.5000
Ho: 0.3330 0.6670 0.0000
Ho: 0.6670 0.3330 0.0000
Se: 0.0809 0.4333 0.2435
Se: 0.2746 0.2746 0.7663
Se: 0.4333 0.0809 0.2435
Se: 0.5667 0.9191 0.7565
Se: 0.7254 0.7254 0.2337
Se: 0.9191 0.5667 0.7565

Summary:
total DFT energy (no corrections)	-70.055	eV for the cell shown


AlRh2: relaxed, PBE.

a b c (Å): 6.1215 3.8547 7.6006
angles (deg): 90.00 108.11 90.00
Positions (direct):
Al: 0.0000 0.0000 0.0000
Al: 0.0310 0.5000 0.2936
Al: 0.3370 0.0000 0.8255
Al: 0.6430 0.0000 0.1877
Rh: 0.3082 0.5000 0.0811
Rh: 0.3264 0.0000 0.3463
Rh: 0.3522 0.5000 0.6068
Rh: 0.6669 0.5000 0.4109
Rh: 0.6731 0.0000 0.6771
Rh: 0.7052 0.5000 0.9779
Rh: 0.9918 0.0000 0.5095
Rh: 0.9969 0.5000 0.7551

Summary:
total DFT energy (no corrections)	-80.103	eV for the cell shown
formation energy	-1.58	eV per formula unit